Record 1
Below is a relaxed Li4GePd5 crystal, with properties calculated at the PBE level.

a b c (Å): 6.3959 6.3959 6.3959
angles (deg): 98.03 98.03 136.11
Fractional positions:
Li 0.0000 0.3009 0.3009
Li 0.0000 0.6991 0.6991
Li 0.3009 0.0000 0.3009
Li 0.6991 0.0000 0.6991
Ge 0.3234 0.3234 0.0000
Pd 0.2993 0.2993 0.6139
Pd 0.2993 0.6854 0.0000
Pd 0.6854 0.2993 0.0000
Pd 0.6854 0.6854 0.3861
Pd 0.8390 0.8390 0.0000

Calculated values
Formation enthalpy at 0 K (kJ/mol of atoms): -32.18
DOS at the Fermi energy (states/eV/f.u.): 4.15
Magnetic moment (μB per atom): 0.000
Space-group type: No. 107

=====

Record 2
Below is a relaxed LiGe2Pd crystal, with properties calculated at the PBE level.

a b c (Å): 3.9522 3.9522 3.9964
angles (deg): 90.00 90.00 90.00
Fractional positions:
Li 0.0000 0.0000 0.0000
Ge 0.0000 0.5000 0.5000
Ge 0.5000 0.0000 0.5000
Pd 0.5000 0.5000 0.0000

Calculated values
Formation enthalpy at 0 K (kJ/mol of atoms): -28.41
DOS at the Fermi energy (states/eV/f.u.): 1.89
Magnetic moment (μB per atom): 0.000
Energy relative to the lowest polymorph listed for this composition (meV per atom): 66
Space-group type: No. 123

=====

Record 3
Below is a relaxed Li3GePd4 crystal, with properties calculated at the PBE level.

a b c (Å): 6.6655 6.6580 4.2775
angles (deg): 71.37 71.18 37.45
Fractional positions:
Li 0.0000 0.0000 0.0000
Li 0.2477 0.2477 0.7523
Li 0.7523 0.7523 0.2477
Ge 0.5000 0.5000 0.5000
Pd 0.1246 0.1246 0.3754
Pd 0.3754 0.3754 0.1246
Pd 0.6246 0.6246 0.8754
Pd 0.8754 0.8754 0.6246

Calculated values
Formation enthalpy at 0 K (kJ/mol of atoms): -54.31
DOS at the Fermi energy (states/eV/f.u.): 2.35
Magnetic moment (μB per atom): 0.000
Energy relative to the lowest polymorph listed for this composition (meV per atom): 0
Space-group type: No. 69

=====

Record 4
Below is a relaxed Li3GePd crystal, with properties calculated at the PBE level.

a b c (Å): 4.6001 4.6001 4.6001
angles (deg): 90.00 90.00 90.00
Fractional positions:
Li 0.0000 0.0000 0.5000
Li 0.0000 0.5000 0.0000
Li 0.5000 0.0000 0.0000
Ge 0.5000 0.5000 0.5000
Pd 0.0000 0.0000 0.0000

Calculated values
Formation enthalpy at 0 K (kJ/mol of atoms): 13.89
DOS at the Fermi energy (states/eV/f.u.): 2.49
Magnetic moment (μB per atom): 0.000
Energy relative to the lowest polymorph listed for this composition (meV per atom): 405
Space-group type: No. 221

=====

Record 5
Below is a relaxed Li7GePd3 crystal, with properties calculated at the PBE level.

a b c (Å): 5.7890 5.7890 6.1604
angles (deg): 90.00 90.00 120.00
Fractional positions:
Li 0.0000 0.0000 0.0000
Li 0.1757 0.3515 0.3703
Li 0.1757 0.8243 0.3703
Li 0.5012 0.0025 0.9694
Li 0.5012 0.4988 0.9694
Li 0.6485 0.8243 0.3703
Li 0.9975 0.4988 0.9694
Ge 0.6667 0.3333 0.3503
Pd 0.3272 0.1636 0.6646
Pd 0.8364 0.1636 0.6646
Pd 0.8364 0.6728 0.6646

Calculated values
Formation enthalpy at 0 K (kJ/mol of atoms): -24.41
DOS at the Fermi energy (states/eV/f.u.): 5.54
Magnetic moment (μB per atom): 0.000
Energy relative to the lowest polymorph listed for this composition (meV per atom): 85
Space-group type: No. 156

=====

Record 6
Below is a relaxed Li3Ge4Pd2 crystal, with properties calculated at the PBE level.

a b c (Å): 5.2798 5.2798 8.0998
angles (deg): 114.85 114.85 48.26
Fractional positions:
Li 0.0000 0.0000 0.0000
Li 0.3536 0.3536 0.3304
Li 0.6464 0.6464 0.6696
Ge 0.0480 0.0480 0.3707
Ge 0.2513 0.2513 0.9080
Ge 0.7487 0.7487 0.0920
Ge 0.9520 0.9520 0.6293
Pd 0.3308 0.3308 0.6517
Pd 0.6692 0.6692 0.3483

Calculated values
Formation enthalpy at 0 K (kJ/mol of atoms): -37.56
DOS at the Fermi energy (states/eV/f.u.): 2.77
Magnetic moment (μB per atom): 0.000
Space-group type: No. 12

=====

Record 7
Below is a relaxed LiGe2Pd crystal, with properties calculated at the PBE level.

a b c (Å): 4.4668 4.4668 4.4668
angles (deg): 60.00 60.00 60.00
Fractional positions:
Li 0.0000 0.0000 0.0000
Ge 0.2500 0.2500 0.2500
Ge 0.7500 0.7500 0.7500
Pd 0.5000 0.5000 0.5000

Calculated values
Formation enthalpy at 0 K (kJ/mol of atoms): -30.03
DOS at the Fermi energy (states/eV/f.u.): 2.31
Magnetic moment (μB per atom): 0.000
Energy relative to the lowest polymorph listed for this composition (meV per atom): 49
Space-group type: No. 225

=====

Record 8
Below is a relaxed Li5GePd8 crystal, with properties calculated at the PBE level.

a b c (Å): 6.4227 6.4227 6.4227
angles (deg): 111.00 111.00 106.45
Fractional positions:
Li 0.0000 0.0000 0.0000
Li 0.1995 0.2980 0.6546
Li 0.4551 0.8005 0.0985
Li 0.6434 0.5449 0.3454
Li 0.7020 0.3566 0.9015
Ge 0.2500 0.7500 0.5000
Pd 0.1754 0.4328 0.1036
Pd 0.3292 0.0717 0.8964
Pd 0.4260 0.1724 0.3998
Pd 0.5672 0.6708 0.7426
Pd 0.7726 0.0261 0.6002
Pd 0.8276 0.2274 0.2535
Pd 0.9283 0.8246 0.2574
Pd 0.9739 0.5740 0.7465

Calculated values
Formation enthalpy at 0 K (kJ/mol of atoms): -31.91
DOS at the Fermi energy (states/eV/f.u.): 5.60
Magnetic moment (μB per atom): 0.000
Space-group type: No. 82

=====

Record 9
Below is a relaxed LiGe4Pd7 crystal, with properties calculated at the PBE level.

a b c (Å): 6.3534 6.3534 9.3726
angles (deg): 125.42 125.42 41.10
Fractional positions:
Li 0.0000 0.0000 0.0000
Ge 0.2852 0.2852 0.6707
Ge 0.4261 0.4261 0.2134
Ge 0.5739 0.5739 0.7866
Ge 0.7148 0.7148 0.3293
Pd 0.0837 0.0837 0.3356
Pd 0.2145 0.2145 0.8722
Pd 0.3537 0.3537 0.4163
Pd 0.5000 0.5000 0.0000
Pd 0.6463 0.6463 0.5837
Pd 0.7855 0.7855 0.1278
Pd 0.9163 0.9163 0.6644

Calculated values
Formation enthalpy at 0 K (kJ/mol of atoms): -36.22
DOS at the Fermi energy (states/eV/f.u.): 4.18
Magnetic moment (μB per atom): 0.000
Space-group type: No. 12

=====

Record 10
Below is a relaxed Li2GePd6 crystal, with properties calculated at the PBE level.

a b c (Å): 6.9887 6.9887 6.9887
angles (deg): 145.86 131.43 60.71
Fractional positions:
Li 0.1685 0.1685 0.0000
Li 0.8315 0.8315 0.0000
Ge 0.5000 0.5000 0.0000
Pd 0.0802 0.3337 0.7466
Pd 0.2487 0.0000 0.2487
Pd 0.4129 0.6663 0.7466
Pd 0.5871 0.3337 0.2534
Pd 0.7513 0.0000 0.7513
Pd 0.9198 0.6663 0.2534

Calculated values
Formation enthalpy at 0 K (kJ/mol of atoms): -19.87
DOS at the Fermi energy (states/eV/f.u.): 4.79
Magnetic moment (μB per atom): 0.000
Energy relative to the lowest polymorph listed for this composition (meV per atom): 203
Space-group type: No. 71

=====

Record 11
Below is a relaxed Li8Ge2Pd crystal, with properties calculated at the PBE level.

a b c (Å): 7.3501 7.3501 6.1463
angles (deg): 110.82 110.82 34.49
Fractional positions:
Li 0.0114 0.0114 0.2297
Li 0.1695 0.1695 0.6968
Li 0.3373 0.3373 0.5938
Li 0.3691 0.3691 0.0736
Li 0.6309 0.6309 0.9264
Li 0.6627 0.6627 0.4062
Li 0.8305 0.8305 0.3032
Li 0.9886 0.9886 0.7703
Ge 0.1944 0.1944 0.1710
Ge 0.8056 0.8056 0.8290
Pd 0.5000 0.5000 0.5000

Calculated values
Formation enthalpy at 0 K (kJ/mol of atoms): -26.63
DOS at the Fermi energy (states/eV/f.u.): 2.78
Magnetic moment (μB per atom): 0.000
Space-group type: No. 12

=====

Record 12
Below is a relaxed Li2GePd4 crystal, with properties calculated at the PBE level.

a b c (Å): 5.1173 5.1173 5.1173
angles (deg): 109.34 109.34 109.73
Fractional positions:
Li 0.0000 0.5000 0.5000
Li 0.5000 0.0000 0.5000
Ge 0.0000 0.0000 0.0000
Pd 0.0000 0.0000 0.5000
Pd 0.0000 0.5000 0.0000
Pd 0.5000 0.0000 0.0000
Pd 0.5000 0.5000 0.5000

Calculated values
Formation enthalpy at 0 K (kJ/mol of atoms): -42.08
DOS at the Fermi energy (states/eV/f.u.): 1.86
Magnetic moment (μB per atom): 0.000
Energy relative to the lowest polymorph listed for this composition (meV per atom): 0
Space-group type: No. 139